(1)
Crystalline Rb3InGe2I9 at its relaxed geometry, computed with PBE.

Geometry as POSCAR:
```
Rb3InGe2I9
1.0
8.503 0.000 0.000
-4.251 7.364 0.000
0.000 0.000 10.436
Rb In Ge I
3 1 2 9
Direct
0.000 0.000 0.000
0.333 0.667 0.679
0.667 0.333 0.321
0.000 0.000 0.500
0.333 0.667 0.165
0.667 0.333 0.835
0.000 0.500 0.000
0.169 0.339 0.328
0.169 0.831 0.328
0.339 0.169 0.672
0.500 0.000 0.000
0.500 0.500 0.000
0.661 0.831 0.328
0.831 0.169 0.672
0.831 0.661 0.672
```

Properties
- magnetization (μB/f.u.) = 0.0
- space group = P-3m1 (164)
- uncorrected energy (eV/atom) = -2.710
- E_form (uncorrected) (meV/atom) = -788
- volume (Å³/cell) = 653



(2)
Crystalline CsOsN2F at its relaxed geometry, computed with PBE.

Geometry as POSCAR:
```
CsOsN2F
1.0
4.418 0.000 0.000
0.000 4.418 0.000
0.000 0.000 4.865
Cs Os N F
1 1 2 1
Direct
0.000 0.000 0.000
0.500 0.500 0.500
0.000 0.500 0.000
0.500 0.000 0.000
0.000 0.000 0.500
```

Properties
- magnetization (μB/f.u.) = 4.5
- space group = P4/mmm (123)
- uncorrected energy (eV/atom) = -3.271
- excess energy over the best structure of this formula in the dataset (meV per atom) = 3038
- E_form (uncorrected) (meV/atom) = 2850
- volume (Å³/cell) = 95



(3)
Crystalline Sn2IrPb at its relaxed geometry, computed with PBE.

Geometry as POSCAR:
```
Sn2IrPb
1.0
1.838 1.061 9.444
-1.838 1.061 9.444
0.000 -2.122 9.444
Sn Ir Pb
2 1 1
Direct
0.109 0.109 0.109
0.891 0.891 0.891
0.500 0.500 0.500
0.000 0.000 0.000
```

Properties
- magnetization (μB/f.u.) = 0.0
- space group = R-3m (166)
- uncorrected energy (eV/atom) = -5.103
- volume (Å³/cell) = 110



(4)
Crystalline Sr4TlSi at its relaxed geometry, computed with PBE.

Geometry as POSCAR:
```
Sr4TlSi
1.0
5.000 -7.489 0.000
5.000 7.489 0.000
-2.635 0.000 6.085
Sr Tl Si
8 2 2
Direct
0.056 0.711 0.931
0.222 0.360 0.675
0.289 0.944 0.569
0.360 0.222 0.175
0.640 0.778 0.825
0.711 0.056 0.431
0.778 0.640 0.325
0.944 0.289 0.069
0.367 0.633 0.250
0.633 0.367 0.750
0.002 0.998 0.750
0.998 0.002 0.250
```

Properties
- magnetization (μB/f.u.) = 0.0
- space group = C2/c (15)
- uncorrected energy (eV/atom) = -2.717
- excess energy over the best structure of this formula in the dataset (meV per atom) = 0
- E_form (uncorrected) (meV/atom) = -298
- volume (Å³/cell) = 456



> What is the volume in the fourth record?

456 Å³/cell